# 1
A plane-wave DFT calculation with GGA-PBE was carried out for a relaxed structure of Sr4Th3ZrAs8.

Structure (extended XYZ):
```
16
Lattice="8.591 0.000 0.000 0.000 8.730 0.090 -4.296 -4.290 6.079" Properties=species:S:1:pos:R:3 pbc="T T T"
Sr 4.296 0.000 0.000
Sr 2.148 -2.145 3.039
Sr 0.000 0.000 0.000
Sr -2.148 -2.145 3.039
Th 4.296 4.365 0.045
Th 2.148 2.220 3.084
Th -2.148 2.220 3.084
Zr 0.000 4.365 0.045
As -2.234 2.056 6.065
As 0.000 4.287 2.904
As 0.000 0.164 3.151
As 2.234 2.056 6.065
As 2.062 2.384 0.103
As 4.296 4.276 3.017
As 4.296 0.153 3.264
As 6.529 2.384 0.103
```

Properties
Fermi-level density of states in states/eV per cell: 0.40
ΔE_f in meV per atom: -1288
Space-group type: R-3m

# 2
A plane-wave DFT calculation with GGA-PBE was carried out for a relaxed structure of Sr2TiAs.

Structure (extended XYZ):
```
8
Lattice="11.409 0.000 0.000 0.000 11.409 0.000 5.704 5.704 2.481" Properties=species:S:1:pos:R:3 pbc="T T T"
Sr 10.352 2.852 0.620
Sr 12.466 8.556 0.620
Sr 8.556 6.761 1.860
Sr 14.261 4.647 1.860
As 0.000 0.000 0.000
As 11.409 5.704 1.240
Ti 5.704 5.704 0.000
Ti 5.704 11.409 1.240
```

Properties
Fermi-level density of states in states/eV per cell: 10.21
ΔE_f in meV per atom: -112
Energy relative to the lowest polymorph listed for this composition in eV/atom: 0.000
Space-group type: I-42d

# 3
A plane-wave DFT calculation with GGA-PBE was carried out for a relaxed structure of Sr3TiAs3.

Structure (extended XYZ):
```
28
Lattice="-2.873 0.134 6.116 8.667 -5.173 0.451 6.339 10.859 2.740" Properties=species:S:1:pos:R:3 pbc="T T T"
Sr 3.408 9.226 6.404
Sr -0.220 3.818 6.010
Sr 3.687 7.176 2.846
Sr 0.058 1.767 2.452
Sr 7.941 0.614 1.329
Sr 7.103 7.663 5.556
Sr 1.423 -0.243 5.756
Sr 7.800 3.606 5.972
Sr 4.193 5.206 7.977
Sr 5.030 -1.843 3.751
Sr 10.710 6.063 3.551
Sr 4.333 2.214 3.334
Ti 9.204 1.168 4.298
Ti 1.197 -0.845 0.581
Ti 2.930 4.652 5.009
Ti 4.597 -4.194 5.986
As 5.063 9.806 3.836
As 1.744 4.383 2.785
As 1.722 6.610 6.071
As -1.597 1.188 5.020
As 6.772 0.681 4.661
As 5.585 8.051 8.421
As 2.478 -0.304 2.666
As 9.431 3.212 2.865
As 5.361 5.139 4.646
As 6.548 -2.231 0.885
As 9.655 6.124 6.641
As 2.702 2.608 6.441
```

Properties
Fermi-level density of states in states/eV per cell: 7.10
ΔE_f in meV per atom: -1066
Space-group type: Cmce

# 4
A plane-wave DFT calculation with GGA-PBE was carried out for a relaxed structure of Sr2TiAs2.

Structure (extended XYZ):
```
10
Lattice="-3.864 -3.835 -3.097 3.709 -5.426 2.091 -3.635 4.121 5.765" Properties=species:S:1:pos:R:3 pbc="T T T"
Sr -3.352 -4.026 2.834
Sr -0.437 -1.114 1.925
Sr 0.022 -6.531 1.725
Sr -3.812 1.391 3.034
Ti -1.044 -5.589 -1.277
Ti 0.888 -3.672 0.271
As -2.114 -1.568 4.578
As -1.676 -3.573 0.181
As 1.853 -3.991 2.630
As -5.643 -1.149 2.130
```

Properties
Fermi-level density of states in states/eV per cell: 5.80
ΔE_f in meV per atom: -945
Space-group type: Ibam

# 5
A plane-wave DFT calculation with GGA-PBE was carried out for a relaxed structure of Sr2TiAs.

Structure (extended XYZ):
```
4
Lattice="3.668 -0.317 4.106 -1.259 2.000 4.982 -0.871 -3.447 4.215" Properties=species:S:1:pos:R:3 pbc="T T T"
Sr 0.384 -0.441 3.326
Sr 1.153 -1.324 9.977
As 0.769 -0.882 6.652
Ti 0.000 0.000 0.000
```

Properties
Fermi-level density of states in states/eV per cell: 2.82
ΔE_f in meV per atom: 85
Energy relative to the lowest polymorph listed for this composition in eV/atom: 0.198
Space-group type: Fm-3m

# 6
A plane-wave DFT calculation with GGA-PBE was carried out for a relaxed structure of SrTi2As.

Structure (extended XYZ):
```
8
Lattice="4.629 0.000 0.000 0.000 4.629 0.000 2.314 2.314 9.585" Properties=species:S:1:pos:R:3 pbc="T T T"
Sr 0.000 0.000 0.000
Sr 4.629 2.314 4.792
As 2.314 2.314 0.000
As 2.314 4.629 4.792
Ti 2.321 1.157 2.396
Ti 2.307 3.472 2.396
Ti 3.472 4.622 7.189
Ti 5.786 4.636 7.189
```

Properties
Fermi-level density of states in states/eV per cell: 10.83
ΔE_f in meV per atom: -7
Energy relative to the lowest polymorph listed for this composition in eV/atom: 0.000
Space-group type: I-42d

# 7
A plane-wave DFT calculation with GGA-PBE was carried out for a relaxed structure of Sr5Ti2As6.

Structure (extended XYZ):
```
26
Lattice="-1.297 -4.049 0.172 10.748 -3.255 4.390 -4.885 2.140 13.546" Properties=species:S:1:pos:R:3 pbc="T T T"
Sr 0.553 -2.061 8.280
Sr 4.013 -3.103 9.828
Sr 8.327 -4.740 3.819
Sr -3.761 -0.424 14.289
Sr 4.407 -3.393 5.979
Sr 0.159 -1.771 12.129
Sr -1.003 -1.750 3.884
Sr 5.569 -3.414 14.225
Sr 4.726 -3.652 2.281
Sr -3.091 -0.954 6.859
Ti 2.145 -0.460 5.352
Ti 3.717 -0.655 12.585
Ti 7.890 -2.250 6.519
Ti -2.028 1.135 11.418
As -0.124 0.302 6.166
As 5.986 -1.417 11.771
As 6.715 -1.968 4.298
As -0.853 0.853 13.638
As 1.984 -2.697 4.095
As 2.582 -2.467 14.013
As 6.760 -4.063 7.949
As -2.194 -1.101 10.159
As 3.457 -0.794 7.365
As 2.406 -0.321 10.571
As 10.131 -2.991 5.956
As -4.268 1.876 11.980
```

Properties
ΔE_f in meV per atom: -1035
Space-group type: Pbam

# 8
A plane-wave DFT calculation with GGA-PBE was carried out for a relaxed structure of Sr4TiAs4.

Structure (extended XYZ):
```
72
Lattice="-7.881 -10.188 -1.508 1.127 -2.740 12.626 -10.237 7.542 2.550" Properties=species:S:1:pos:R:3 pbc="T T T"
Sr -2.502 -0.793 2.013
Sr -5.662 -2.707 8.540
Sr -8.315 -4.900 4.378
Sr -9.009 0.321 5.573
Sr -8.929 2.595 12.719
Sr -7.267 -9.914 9.856
Sr -15.285 -2.660 2.748
Sr -10.998 -3.486 8.847
Sr -12.785 -6.698 11.178
Sr -10.586 -6.933 1.270
Sr -15.331 -3.739 9.179
Sr -1.329 -2.454 8.209
Sr -12.913 -2.568 12.646
Sr -11.503 2.652 2.872
Sr -7.444 -5.666 10.793
Sr -11.050 -1.662 2.588
Sr -8.753 -1.652 11.781
Sr -6.537 1.243 9.343
Sr -13.296 -1.171 6.323
Sr -5.860 -7.013 6.931
Sr -12.406 -5.191 4.811
Sr -10.916 1.105 9.144
Sr -10.145 -7.381 7.793
Sr -4.895 0.558 5.389
Sr -3.910 -3.692 4.938
Sr -3.166 -5.036 11.241
Sr -6.400 -5.820 0.578
Sr -7.377 -9.036 3.395
Sr -9.946 4.457 6.553
Sr -7.223 3.535 3.241
Sr -3.390 -0.675 11.647
Sr -6.736 -1.791 2.175
Ti 0.000 0.000 0.000
Ti -11.030 -3.870 0.144
Ti -3.096 -7.149 8.715
Ti -3.659 -5.779 2.403
Ti -1.996 0.515 6.950
Ti -7.114 4.286 8.226
Ti -7.089 1.224 0.898
Ti -8.496 -2.693 6.834
As -5.016 -7.674 10.178
As -8.893 -3.965 1.381
As -12.929 -5.906 8.072
As -3.802 -0.113 8.515
As -13.249 -1.315 9.482
As -11.754 1.831 6.182
As -9.752 -8.188 10.875
As -12.844 -4.442 1.722
As -6.374 0.695 12.501
As -6.629 -2.101 5.332
As -13.689 0.073 3.162
As -10.377 -4.366 11.851
As -15.287 -3.631 5.789
As -11.174 0.340 12.467
As -7.764 -9.589 6.720
As -1.949 -1.160 5.135
As -4.104 -3.511 1.529
As -3.416 -4.863 7.835
As -5.564 -6.426 3.838
As -10.231 -7.453 4.417
As -7.021 2.700 6.334
As -8.981 0.723 2.406
As -5.733 -3.165 11.698
As -5.014 1.162 2.239
As -0.988 -2.730 11.353
As -9.854 5.292 3.492
As -8.016 -8.541 0.326
As -8.113 -4.943 7.776
As -8.631 -1.046 8.668
As -10.611 -2.683 5.561
As -15.124 -4.794 12.166
As -8.983 3.607 9.693
```

Properties
ΔE_f in meV per atom: -1132
Space-group type: P-43n